No. 1
The following is a GGA-PBE calculation of a relaxed structure of CrAgIr, from Alexandria via LeMat-Bulk.

Values from the calculation:
**Energy of formation**: 613 meV per atom

Unit cell a=5.8981 b=5.8981 c=5.8981 alpha=90.00 beta=90.00 gamma=90.00
Last column: nearest neighbours and their distance in Å.
Sites, in units of the cell vectors:
1 Cr 0.0000 0.0000 0.0000  4 Ir 2.55, 4 Ag 2.55
2 Cr 0.0000 0.5000 0.5000  4 Ir 2.55, 4 Ag 2.55
3 Cr 0.5000 0.0000 0.5000  4 Ir 2.55, 4 Ag 2.55
4 Cr 0.5000 0.5000 0.0000  4 Ir 2.55, 4 Ag 2.55
5 Ag 0.2500 0.2500 0.2500  4 Cr 2.55
6 Ag 0.2500 0.7500 0.7500  4 Cr 2.55
7 Ag 0.7500 0.2500 0.7500  4 Cr 2.55
8 Ag 0.7500 0.7500 0.2500  4 Cr 2.55
9 Ir 0.2500 0.2500 0.7500  4 Cr 2.55
10 Ir 0.2500 0.7500 0.2500  4 Cr 2.55
11 Ir 0.7500 0.2500 0.2500  4 Cr 2.55
12 Ir 0.7500 0.7500 0.7500  4 Cr 2.55

No. 2
The following is a GGA-PBE calculation of a relaxed structure of CrAgIr, from Alexandria via LeMat-Bulk.

Values from the calculation:
**Energy of formation**: 233 meV per atom

Unit cell a=2.7786 b=2.7786 c=11.6123 alpha=90.00 beta=90.00 gamma=90.00
Last column: nearest neighbours and their distance in Å.
Sites, in units of the cell vectors:
1 Cr 0.0000 0.0000 0.0000  4 Ir 2.48
2 Cr 0.5000 0.5000 0.5000  4 Ir 2.48
3 Ag 0.0000 0.0000 0.6789  4 Ag 2.78, 4 Cr 2.86, 4 Ir 2.96
4 Ag 0.5000 0.5000 0.1789  4 Ag 2.78, 4 Cr 2.86, 4 Ir 2.96
5 Ir 0.0000 0.0000 0.3700  4 Cr 2.48
6 Ir 0.5000 0.5000 0.8700  4 Cr 2.48

No. 3
The following is a GGA-PBE calculation of a relaxed structure of Cr2AgIr, from Alexandria via LeMat-Bulk.

Values from the calculation:
**Energy of formation**: 434 meV per atom

Unit cell a=3.8372 b=3.8372 c=7.6219 alpha=90.00 beta=90.00 gamma=90.00
Last column: nearest neighbours and their distance in Å.
Sites, in units of the cell vectors:
1 Cr 0.0000 0.5000 0.2500  4 Ir 2.70, 4 Ag 2.70, 4 Cr 2.71
2 Cr 0.0000 0.5000 0.7500  4 Ir 2.70, 4 Ag 2.70, 4 Cr 2.71
3 Cr 0.5000 0.0000 0.2500  4 Ir 2.70, 4 Ag 2.70, 4 Cr 2.71
4 Cr 0.5000 0.0000 0.7500  4 Ir 2.70, 4 Ag 2.70, 4 Cr 2.71
5 Ag 0.0000 0.0000 0.0000  8 Cr 2.70, 4 Ir 2.71
6 Ag 0.5000 0.5000 0.5000  8 Cr 2.70, 4 Ir 2.71
7 Ir 0.0000 0.0000 0.5000  8 Cr 2.70, 4 Ag 2.71
8 Ir 0.5000 0.5000 0.0000  8 Cr 2.70, 4 Ag 2.71

No. 4
The following is a GGA-PBE calculation of a relaxed structure of CrAgIr, from Alexandria via LeMat-Bulk.

Values from the calculation:
**Energy of formation**: 196 meV per atom

Unit cell a=2.7189 b=2.7189 c=6.9252 alpha=90.00 beta=90.00 gamma=120.00
Last column: nearest neighbours and their distance in Å.
Sites, in units of the cell vectors:
1 Cr 0.0000 0.0000 0.0000  3 Ir 2.52, 6 Cr 2.72
2 Ag 0.3333 0.6667 0.6543  6 Ag 2.72, 3 Cr 2.86, 3 Ir 3.00
3 Ir 0.6667 0.3333 0.2845  3 Cr 2.52, 6 Ir 2.72

No. 5
The following is a GGA-PBE calculation of a relaxed structure of Cr2AgIr, from Alexandria via LeMat-Bulk.

Values from the calculation:
**Energy of formation**: 447 meV per atom

Unit cell a=3.8021 b=3.8021 c=3.8309 alpha=90.00 beta=90.00 gamma=90.00
Last column: nearest neighbours and their distance in Å.
Sites, in units of the cell vectors:
1 Cr 0.0000 0.5000 0.0000  4 Cr 2.69, 4 Ir 2.70, 4 Ag 2.70
2 Cr 0.5000 0.0000 0.0000  4 Cr 2.69, 4 Ir 2.70, 4 Ag 2.70
3 Ag 0.0000 0.0000 0.5000  4 Ir 2.69, 8 Cr 2.70
4 Ir 0.5000 0.5000 0.5000  4 Ag 2.69, 8 Cr 2.70

No. 6
The following is a GGA-PBE calculation of a relaxed structure of CrAgIr2, from Alexandria via LeMat-Bulk.

Values from the calculation:
**Energy of formation**: 531 meV per atom

Unit cell a=7.0176 b=7.0176 c=5.2678 alpha=90.00 beta=90.00 gamma=90.00
Last column: nearest neighbours and their distance in Å.
Sites, in units of the cell vectors:
1 Cr 0.0000 0.0000 0.0000  4 Ir 2.33
2 Cr 0.0000 0.5000 0.2500  4 Ir 2.33
3 Cr 0.5000 0.0000 0.7500  4 Ir 2.33
4 Cr 0.5000 0.5000 0.5000  4 Ir 2.33
5 Ag 0.0000 0.0000 0.5000  2 Cr 2.63, 4 Ir 2.84
6 Ag 0.0000 0.5000 0.7500  2 Cr 2.63, 4 Ir 2.84
7 Ag 0.5000 0.0000 0.2500  2 Cr 2.63, 4 Ir 2.84
8 Ag 0.5000 0.5000 0.0000  2 Cr 2.63, 4 Ir 2.84
9 Ir 0.1966 0.2500 0.1250  2 Cr 2.33
10 Ir 0.2500 0.6966 0.3750  2 Cr 2.33
11 Ir 0.2500 0.8034 0.8750  2 Cr 2.33
12 Ir 0.3034 0.2500 0.6250  2 Cr 2.33
13 Ir 0.6966 0.7500 0.6250  2 Cr 2.33
14 Ir 0.7500 0.1966 0.8750  2 Cr 2.33
15 Ir 0.7500 0.3034 0.3750  2 Cr 2.33
16 Ir 0.8034 0.7500 0.1250  2 Cr 2.33

No. 7
The following is a GGA-PBE calculation of a relaxed structure of Cr2AgIr, from Alexandria via LeMat-Bulk.

Values from the calculation:
**Energy of formation**: 377 meV per atom

Unit cell a=5.3595 b=7.6520 c=2.7014 alpha=90.00 beta=90.00 gamma=90.00
Last column: nearest neighbours and their distance in Å.
Sites, in units of the cell vectors:
1 Cr 0.2500 0.2500 0.0000  4 Cr 2.68-2.70, 4 Ir 2.70, 4 Ag 2.70
2 Cr 0.2500 0.7500 0.0000  4 Cr 2.68-2.70, 4 Ir 2.70, 4 Ag 2.70
3 Cr 0.7500 0.2500 0.0000  4 Cr 2.68-2.70, 4 Ir 2.70, 4 Ag 2.70
4 Cr 0.7500 0.7500 0.0000  4 Cr 2.68-2.70, 4 Ir 2.70, 4 Ag 2.70
5 Ag 0.0000 0.0000 0.5000  2 Ir 2.68, 8 Cr 2.70, 2 Ag 2.70
6 Ag 0.5000 0.5000 0.5000  2 Ir 2.68, 8 Cr 2.70, 2 Ag 2.70
7 Ir 0.0000 0.5000 0.5000  2 Ag 2.68, 8 Cr 2.70, 2 Ir 2.70
8 Ir 0.5000 0.0000 0.5000  2 Ag 2.68, 8 Cr 2.70, 2 Ir 2.70

No. 8
The following is a GGA-PBE calculation of a relaxed structure of CrAgIr2, from Alexandria via LeMat-Bulk.

Values from the calculation:
**Energy of formation**: 242 meV per atom

Unit cell a=2.7190 b=2.7190 c=27.5860 alpha=90.00 beta=90.00 gamma=120.00
Last column: nearest neighbours and their distance in Å.
Sites, in units of the cell vectors:
1 Cr 0.0000 0.0000 0.0000  3 Ir 2.54, 6 Cr 2.72
2 Cr 0.3333 0.6667 0.6667  3 Ir 2.54, 6 Cr 2.72
3 Cr 0.6667 0.3333 0.3333  3 Ir 2.54, 6 Cr 2.72
4 Ag 0.0000 0.0000 0.2471  6 Ag 2.72, 3 Cr 2.85, 3 Ir 2.93
5 Ag 0.3333 0.6667 0.9138  6 Ag 2.72, 3 Cr 2.85, 3 Ir 2.93
6 Ag 0.6667 0.3333 0.5804  6 Ag 2.72, 3 Cr 2.85, 3 Ir 2.93
7 Ir 0.0000 0.0000 0.4908  9 Ir 2.72-2.83, 3 Ag 2.93
8 Ir 0.0000 0.0000 0.7390  3 Cr 2.54, 9 Ir 2.72-2.83
9 Ir 0.3333 0.6667 0.1575  9 Ir 2.72-2.83, 3 Ag 2.93
10 Ir 0.3333 0.6667 0.4056  3 Cr 2.54, 9 Ir 2.72-2.83
11 Ir 0.6667 0.3333 0.0723  3 Cr 2.54, 9 Ir 2.72-2.83
12 Ir 0.6667 0.3333 0.8242  9 Ir 2.72-2.83, 3 Ag 2.93

No. 9
The following is a GGA-PBE calculation of a relaxed structure of Cr2AgIr2, from Alexandria via LeMat-Bulk.

Values from the calculation:
**Energy of formation**: 95 meV per atom

Unit cell a=7.3635 b=7.3635 c=2.6887 alpha=90.00 beta=90.00 gamma=90.00
Last column: nearest neighbours and their distance in Å.
Sites, in units of the cell vectors:
1 Cr 0.1164 0.3836 0.0000  3 Cr 2.42-2.69, 6 Ir 2.52-2.62
2 Cr 0.3836 0.8836 0.0000  3 Cr 2.42-2.69, 6 Ir 2.52-2.62
3 Cr 0.6164 0.1164 0.0000  3 Cr 2.42-2.69, 6 Ir 2.52-2.62
4 Cr 0.8836 0.6164 0.0000  3 Cr 2.42-2.69, 6 Ir 2.52-2.62
5 Ag 0.0000 0.0000 0.0000  2 Ag 2.69, 4 Cr 2.95
6 Ag 0.5000 0.5000 0.0000  2 Ag 2.69, 4 Cr 2.95
7 Ir 0.1681 0.6681 0.5000  6 Cr 2.52-2.62, 2 Ir 2.69
8 Ir 0.3319 0.1681 0.5000  6 Cr 2.52-2.62, 2 Ir 2.69
9 Ir 0.6681 0.8319 0.5000  6 Cr 2.52-2.62, 2 Ir 2.69
10 Ir 0.8319 0.3319 0.5000  6 Cr 2.52-2.62, 2 Ir 2.69

No. 10
The following is a GGA-PBE calculation of a relaxed structure of CrAgIr2, from Alexandria via LeMat-Bulk.

Values from the calculation:
**Energy of formation**: 192 meV per atom

Unit cell a=2.7415 b=3.6314 c=5.9251 alpha=90.00 beta=90.00 gamma=90.00
Last column: nearest neighbours and their distance in Å.
Sites, in units of the cell vectors:
1 Cr 0.0000 0.0000 0.0000  8 Ir 2.63, 2 Cr 2.74
2 Ag 0.0000 0.0000 0.5000  2 Ag 2.74, 8 Ir 2.81, 2 Cr 2.96
3 Ir 0.5000 0.5000 0.2211  3 Ir 2.62-2.74, 4 Cr 2.63, 4 Ag 2.81
4 Ir 0.5000 0.5000 0.7789  3 Ir 2.62-2.74, 4 Cr 2.63, 4 Ag 2.81

No. 11
The following is a GGA-PBE calculation of a relaxed structure of CrAgIr2, from Alexandria via LeMat-Bulk.

Values from the calculation:
**Energy of formation**: 461 meV per atom

Unit cell a=4.5440 b=4.5440 c=2.9209 alpha=90.00 beta=90.00 gamma=90.00
Last column: nearest neighbours and their distance in Å.
Sites, in units of the cell vectors:
1 Cr 0.0000 0.0000 0.0000  8 Ir 2.70, 2 Cr 2.92
2 Ag 0.5000 0.5000 0.0000  8 Ir 2.70, 2 Ag 2.92
3 Ir 0.0000 0.5000 0.5000  4 Cr 2.70, 4 Ag 2.70, 2 Ir 2.92
4 Ir 0.5000 0.0000 0.5000  4 Cr 2.70, 4 Ag 2.70, 2 Ir 2.92

No. 12
The following is a GGA-PBE calculation of a relaxed structure of CrAgIr2, from Alexandria via LeMat-Bulk.

Values from the calculation:
**Energy of formation**: 284 meV per atom

Unit cell a=9.1712 b=2.7997 c=4.7893 alpha=90.00 beta=100.99 gamma=90.00
Last column: nearest neighbours and their distance in Å.
Sites, in units of the cell vectors:
1 Cr 0.0000 0.0000 0.0000  7 Ir 2.64-2.92, 3 Ag 2.72-2.81, 2 Cr 2.80
2 Cr 0.5000 0.5000 0.0000  7 Ir 2.64-2.92, 3 Ag 2.72-2.81, 2 Cr 2.80
3 Ag 0.2579 0.5000 0.2504  3 Cr 2.72-2.81, 7 Ir 2.76-2.88, 2 Ag 2.80
4 Ag 0.7579 0.0000 0.2504  3 Cr 2.72-2.81, 7 Ir 2.76-2.88, 2 Ag 2.80
5 Ir 0.0177 0.5000 0.5402  4 Cr 2.64-2.92, 5 Ir 2.67-2.80, 3 Ag 2.82-2.88
6 Ir 0.2617 0.0000 0.7491  5 Ir 2.67-2.80, 3 Cr 2.68-2.88, 4 Ag 2.76-2.79
7 Ir 0.5177 0.0000 0.5402  4 Cr 2.64-2.92, 5 Ir 2.67-2.80, 3 Ag 2.82-2.88
8 Ir 0.7617 0.5000 0.7491  5 Ir 2.67-2.80, 3 Cr 2.68-2.88, 4 Ag 2.76-2.79

Please write out number 10 again, unchanged.
The following is a GGA-PBE calculation of a relaxed structure of CrAgIr2, from Alexandria via LeMat-Bulk.

Values from the calculation:
**Energy of formation**: 192 meV per atom

Unit cell a=2.7415 b=3.6314 c=5.9251 alpha=90.00 beta=90.00 gamma=90.00
Last column: nearest neighbours and their distance in Å.
Sites, in units of the cell vectors:
1 Cr 0.0000 0.0000 0.0000  8 Ir 2.63, 2 Cr 2.74
2 Ag 0.0000 0.0000 0.5000  2 Ag 2.74, 8 Ir 2.81, 2 Cr 2.96
3 Ir 0.5000 0.5000 0.2211  3 Ir 2.62-2.74, 4 Cr 2.63, 4 Ag 2.81
4 Ir 0.5000 0.5000 0.7789  3 Ir 2.62-2.74, 4 Cr 2.63, 4 Ag 2.81

energy of formation of number 6 (CrAgIr2)?
531 meV per atom